Version A
# Tl3Bi4Pb4 | Alexandria via LeMat-Bulk | PBE | relaxed
data_Tl3Bi4Pb4
_space_group_name_H-M_alt 'P 1'
_space_group_IT_number 1
_space_group_name_Hall 'P 1'
_cell_length_a 3.4494
_cell_length_b 5.6003
_cell_length_c 18.5521
_cell_angle_alpha 81.31
_cell_angle_beta 90.11
_cell_angle_gamma 89.83
loop_
_atom_site_label
_atom_site_fract_x
_atom_site_fract_y
_atom_site_fract_z
Pb1 0.7269 0.7264 0.5458
Pb2 0.4589 0.9092 0.1824
Tl1 0.0000 0.0000 0.0000
Bi1 0.4905 0.5445 0.9110
Tl2 0.9614 0.3646 0.2697
Tl3 0.0385 0.6355 0.7302
Pb3 0.2732 0.2736 0.4542
Pb4 0.5412 0.0908 0.8176
Bi2 0.5142 0.8171 0.3653
Bi3 0.5095 0.4556 0.0889
Bi4 0.4859 0.1829 0.6348
# calculated volume = 354 Å³/f.u.

Version B
# Tl3Bi4Pb4 | Alexandria via LeMat-Bulk | PBE | relaxed
data_Tl3Bi4Pb4
_space_group_name_H-M_alt 'P 1'
_space_group_IT_number 1
_space_group_name_Hall 'P 1'
_cell_length_a 5.5668
_cell_length_b 7.1513
_cell_length_c 10.2904
_cell_angle_alpha 90.00
_cell_angle_beta 90.00
_cell_angle_gamma 112.91
loop_
_atom_site_label
_atom_site_fract_x
_atom_site_fract_y
_atom_site_fract_z
Tl1 0.3893 0.7786 0.6972
Pb1 0.0995 0.1990 0.7484
Pb2 0.5735 0.1470 0.0000
Pb3 0.0995 0.1990 0.2516
Bi1 0.7405 0.4809 0.7618
Tl2 0.3893 0.7786 0.3028
Bi2 0.9409 0.8817 0.0000
Tl3 0.2787 0.5575 0.0000
Bi3 0.7405 0.4809 0.2382
Bi4 0.9456 0.8912 0.5000
Pb4 0.6013 0.2025 0.5000
# calculated volume = 377 Å³/f.u.

What are the relative energies? In meV per atom: version A 0; version B 12.